1.
# YAs2Cl

A relaxed structure of YAs2Cl (PBE, Alexandria).

Lattice parameters (Å, degrees): 3.9127 3.9127 10.8624 90.00 90.00 90.00
Closest atoms and distances in Å follow each position.
Space group I4/mmm (No. 139)
Asymmetric unit:
Y: 0.0000 0.0000 0.0000 (multiplicity 2)  4 Cl 2.77
As: 0.0000 0.5000 0.2500 (multiplicity 4)  4 As 2.77
Cl: 0.0000 0.0000 0.5000 (multiplicity 2)  4 Y 2.77

- E_tot (eV/atom) = -5.310
- DOS at the Fermi energy (states/eV/cell) = 1.3
- size of the total moment (Bohr magnetons per cell) = 0.0
- raw formation energy (eV/atom) = -0.907

2.
# YPuHg2O6

A relaxed structure of YPuHg2O6 (PBE, Alexandria).

Lattice parameters (Å, degrees): 5.8333 5.8333 15.3513 90.00 90.00 120.00
Closest atoms and distances in Å follow each position.
Space group R-3 (No. 148, hexagonal axes)
Asymmetric unit:
Y: 0.0000 0.0000 0.0000 (multiplicity 3)  6 O 2.29
Pu: 0.0000 0.0000 0.5000 (multiplicity 3)  6 O 2.16
Hg: 0.0000 0.0000 0.2524 (multiplicity 6)  3 O 2.23
O: 0.0141 0.3895 0.2487 (multiplicity 18)  1 Pu 2.16, 1 Hg 2.23, 1 Y 2.29

- E_tot (eV/atom) = -7.032
- DOS at the Fermi energy (states/eV/cell) = 27.3
- size of the total moment (Bohr magnetons per cell) = 9.0
- raw formation energy (eV/atom) = -1.918

3.
# Hg2HIr

A relaxed structure of Hg2HIr (PBE, Alexandria).

Lattice parameters (Å, degrees): 6.4773 6.4773 6.4773 90.00 90.00 90.00
Closest atoms and distances in Å follow each position.
Space group Fm-3m (No. 225)
Asymmetric unit:
Hg: 0.2500 0.2500 0.2500 (multiplicity 8)  4 H 2.80, 4 Ir 2.80
H: 0.0000 0.0000 0.0000 (multiplicity 4)  8 Hg 2.80
Ir: 0.0000 0.0000 0.5000 (multiplicity 4)  8 Hg 2.80

- E_tot (eV/atom) = -2.252
- DOS at the Fermi energy (states/eV/cell) = 7.9
- size of the total moment (Bohr magnetons per cell) = 3.2

4.
# KCa2Tl2Hg2

A relaxed structure of KCa2Tl2Hg2 (PBE, Alexandria).

Lattice parameters (Å, degrees): 5.2253 5.2253 30.4723 90.00 90.00 120.00
Closest atoms and distances in Å follow each position.
Space group R-3m (No. 166, hexagonal axes)
Asymmetric unit:
K: 0.0000 0.0000 0.0000 (multiplicity 3)  2 Ca 3.94, 6 Tl 4.00, 6 Hg 4.10
Ca: 0.0000 0.0000 0.1294 (multiplicity 6)  3 Hg 3.23, 4 Tl 3.29-3.59
Tl: 0.0000 0.0000 0.2472 (multiplicity 6)  3 Hg 3.02, 3 Ca 3.29
Hg: 0.0000 0.0000 0.4246 (multiplicity 6)  3 Tl 3.02, 3 Ca 3.23

- formation energy from the elements (meV/atom) = -243
- E_tot (eV/atom) = -1.734
- DOS at the Fermi energy (states/eV/cell) = 16.3
- size of the total moment (Bohr magnetons per cell) = 0.0